The following is a DFT calculation (GGA+U) of a relaxed structure of Ni2PbF6.

Output
Its total magnetization is 3.99 μB/f.u. The value obtained for the raw total energy is -4.492 eV/atom. The crystal system is trigonal.

Cell lengths 5.2941, 5.3460, 5.3460 Å; angles 120.00, 90.00, 90.00 degrees
Each line ends with the local moment (μB).
Atoms (fractional coordinates):
Ni (0.5000, 0.6667, 0.3333)  1.83
Ni (0.5000, 0.3333, 0.6667)  1.83
Pb (0.0000, 0.0000, 0.0000)  0.01
F (0.7100, 0.6335, 0.6335)  0.05
F (0.2900, 0.6335, 0.0000)  0.05
F (0.2900, 0.0000, 0.6335)  0.05
F (0.7100, 0.3665, 0.0000)  0.05
F (0.2900, 0.3665, 0.3665)  0.05
F (0.7100, 0.0000, 0.3665)  0.05